1.
Here is a geometry-optimized TbScAgRh structure from the Alexandria database. Energies are from GGA-PBE.

Unit cell a=4.868 b=4.868 c=4.868 alpha=60.00 beta=60.00 gamma=60.00
Sites, in units of the cell vectors:
Tb  0.000  0.000  0.000
Sc  0.500  0.500  0.500
Ag  0.250  0.250  0.250
Rh  0.750  0.750  0.750

Output
spin magnetization = 0.0 μB per formula unit
SG = No. 216
mass density = 8.44 g/cm3
energy = -5.842 eV/atom
formation energy from the elements = -53.2 kJ/mol of atoms



2.
Here is a geometry-optimized ThScAgRh structure from the Alexandria database. Energies are from GGA-PBE.

Unit cell a=4.981 b=4.981 c=4.981 alpha=60.00 beta=60.00 gamma=60.00
Sites, in units of the cell vectors:
Th  0.000  0.000  0.000
Sc  0.500  0.500  0.500
Ag  0.250  0.250  0.250
Rh  0.750  0.750  0.750

Output
spin magnetization = 0.0 μB per formula unit
SG = No. 216
mass density = 9.27 g/cm3
energy = -6.422 eV/atom
formation energy from the elements = -41.8 kJ/mol of atoms



3.
Here is a geometry-optimized ZrScAgRh structure from the Alexandria database. Energies are from GGA-PBE.

Unit cell a=4.739 b=4.739 c=4.739 alpha=60.00 beta=60.00 gamma=60.00
Sites, in units of the cell vectors:
Zr  0.000  0.000  0.000
Sc  0.500  0.500  0.500
Ag  0.750  0.750  0.750
Rh  0.250  0.250  0.250

Output
spin magnetization = 0.0 μB per formula unit
SG = No. 216
mass density = 7.66 g/cm3
energy = -6.742 eV/atom
formation energy from the elements = -45.4 kJ/mol of atoms



4.
Here is a geometry-optimized ZrScAgRh2 structure from the Alexandria database. Energies are from GGA-PBE.

Unit cell a=4.751 b=4.751 c=5.164 alpha=90.00 beta=90.00 gamma=90.00
Sites, in units of the cell vectors:
Zr  0.000  0.000  0.000
Sc  0.500  0.500  0.500
Ag  0.000  0.000  0.500
Rh  0.000  0.500  0.000
Rh  0.500  0.000  0.000

Output
spin magnetization = 0.0 μB per formula unit
SG = No. 123
mass density = 6.41 g/cm3
energy = -5.992 eV/atom
formation energy from the elements = 47.8 kJ/mol of atoms



5.
Here is a geometry-optimized Ag2RhSe2 structure from the Alexandria database. Energies are from GGA-PBE.

Unit cell a=6.702 b=6.702 c=4.345 alpha=90.00 beta=90.00 gamma=90.00
Sites, in units of the cell vectors:
Ag  0.159  0.341  0.000
Ag  0.341  0.841  0.000
Ag  0.659  0.159  0.000
Ag  0.841  0.659  0.000
Rh  0.000  0.000  0.500
Rh  0.500  0.500  0.500
Se  0.167  0.667  0.500
Se  0.333  0.167  0.500
Se  0.667  0.833  0.500
Se  0.833  0.333  0.500

Output
spin magnetization = 0.0 μB per formula unit
SG = No. 127
mass density = 8.11 g/cm3
energy relative to the elements, uncorrected = 0.0942 eV per atom
energy = -3.910 eV/atom



6.
Here is a geometry-optimized AgRh2Se4 structure from the Alexandria database. Energies are from GGA-PBE.

Unit cell a=7.546 b=7.546 c=7.546 alpha=120.05 beta=119.94 gamma=90.01
Sites, in units of the cell vectors:
Ag  0.375  0.125  0.250
Ag  0.625  0.875  0.750
Rh  0.000  0.000  0.500
Rh  0.000  0.500  0.000
Rh  0.000  0.500  0.500
Rh  0.500  0.500  0.000
Se  0.202  0.734  0.468
Se  0.234  0.266  0.532
Se  0.234  0.266  0.968
Se  0.234  0.702  0.968
Se  0.766  0.298  0.032
Se  0.766  0.734  0.032
Se  0.766  0.734  0.468
Se  0.798  0.266  0.532

Output
spin magnetization = 0.0 μB per formula unit
SG = No. 74
mass density = 6.88 g/cm3
energy relative to the elements, uncorrected = -0.3583 eV per atom
energy = -4.857 eV/atom



7.
Here is a geometry-optimized AgRhSe structure from the Alexandria database. Energies are from GGA-PBE.

Unit cell a=5.325 b=5.325 c=5.325 alpha=143.45 beta=143.45 gamma=52.65
Sites, in units of the cell vectors:
Ag  0.000  0.000  0.000
Rh  0.697  0.697  0.000
Se  0.290  0.290  0.000

Output
spin magnetization = 0.0 μB per formula unit
SG = No. 107
mass density = 9.04 g/cm3
E above lowest polymorph = 0.049 eV/atom
energy relative to the elements, uncorrected = -0.0147 eV per atom
energy = -4.577 eV/atom



8.
Here is a geometry-optimized AgRh3Se structure from the Alexandria database. Energies are from GGA-PBE.

Unit cell a=4.831 b=4.831 c=4.831 alpha=90.00 beta=90.00 gamma=90.00
Sites, in units of the cell vectors:
Ag  0.000  0.000  0.000
Rh  0.000  0.000  0.500
Rh  0.000  0.500  0.000
Rh  0.500  0.000  0.000
Se  0.500  0.500  0.500

Output
spin magnetization = 3.1 μB per formula unit
SG = No. 221
mass density = 7.30 g/cm3
E above lowest polymorph = 1.269 eV/atom
energy relative to the elements, uncorrected = 1.7581 eV per atom
energy = -3.920 eV/atom



9.
Here is a geometry-optimized AgRhSe4 structure from the Alexandria database. Energies are from GGA-PBE.

Unit cell a=5.613 b=5.613 c=5.613 alpha=60.00 beta=60.00 gamma=60.00
Sites, in units of the cell vectors:
Ag  0.000  0.000  0.000
Rh  0.750  0.750  0.750
Se  0.376  0.376  0.376
Se  0.376  0.376  0.873
Se  0.376  0.873  0.376
Se  0.873  0.376  0.376

Output
spin magnetization = 1.1 μB per formula unit
SG = No. 216
mass density = 6.99 g/cm3
energy relative to the elements, uncorrected = 0.8276 eV per atom
energy = -3.196 eV/atom



10.
Here is a geometry-optimized AgRhSe structure from the Alexandria database. Energies are from GGA-PBE.

Unit cell a=3.336 b=3.336 c=6.124 alpha=90.00 beta=90.00 gamma=120.00
Sites, in units of the cell vectors:
Ag  0.000  0.000  0.000
Rh  0.667  0.333  0.336
Se  0.333  0.667  0.563

Output
spin magnetization = 0.0 μB per formula unit
SG = No. 156
mass density = 8.15 g/cm3
E above lowest polymorph = 0.000 eV/atom
energy relative to the elements, uncorrected = -0.0635 eV per atom
energy = -4.626 eV/atom



11.
Here is a geometry-optimized AgRhSe structure from the Alexandria database. Energies are from GGA-PBE.

Unit cell a=4.344 b=4.344 c=4.344 alpha=60.00 beta=60.00 gamma=60.00
Sites, in units of the cell vectors:
Ag  0.000  0.000  0.000
Rh  0.250  0.250  0.250
Se  0.500  0.500  0.500

Output
spin magnetization = 0.0 μB per formula unit
SG = No. 216
mass density = 8.30 g/cm3
E above lowest polymorph = 0.238 eV/atom
energy relative to the elements, uncorrected = 0.1741 eV per atom
energy = -4.388 eV/atom



12.
Here is a geometry-optimized AgRhSe3 structure from the Alexandria database. Energies are from GGA-PBE.

Unit cell a=4.918 b=4.918 c=4.918 alpha=90.00 beta=90.00 gamma=90.00
Sites, in units of the cell vectors:
Ag  0.000  0.000  0.000
Rh  0.500  0.500  0.500
Se  0.000  0.500  0.500
Se  0.500  0.000  0.500
Se  0.500  0.500  0.000

Output
spin magnetization = 0.9 μB per formula unit
SG = No. 221
mass density = 6.25 g/cm3
E above lowest polymorph = 0.000 eV/atom
energy relative to the elements, uncorrected = 0.4317 eV per atom
energy = -3.700 eV/atom